BaAlRu3 | PBE-GGA | optimized geometry

For the energy above the lowest structure with this stoichiometry, the calculation gives 1764 meV per atom. Its volume is 25.9 A^3/atom. The density of states at the Fermi level comes out at 1.331 states/eV per atom. As for the space group: Pm-3m, No. 221. The energy of formation comes out at 2580 meV/atom.

a b c (Å): 5.056 5.056 5.056
angles (deg): 90.00 90.00 90.00
Site moments in Bohr magnetons follow the coordinates.
Fractional positions:
1 Ru 0.000 0.500 0.000  1.50
2 Ru 0.500 0.000 0.000  1.44
3 Ru 0.000 0.000 0.500  1.39
4 Al 0.500 0.500 0.500  0.04
5 Ba 0.000 0.000 0.000  -0.04